Computed, not measured: an optimized crystal structure of DyNpP2Rh5 at the PBE level of DFT.

abc: 4.004 4.004 10.772
angles: 90.00 90.00 90.00
Last column: magnetic moment on the atom in μB.
Positions (direct):
Dy 0.500 0.500 0.500  0.02
Np 0.000 0.000 0.000  3.28
P 0.000 0.000 0.709  0.02
P 0.000 0.000 0.291  0.02
Rh 0.000 0.000 0.500  0.03
Rh 0.000 0.500 0.813  -0.12
Rh 0.500 0.000 0.187  -0.12
Rh 0.000 0.500 0.187  -0.12
Rh 0.500 0.000 0.813  -0.12

Results
theoretical density	9.38	g/cm3
ΔE_f	-0.47	eV/atom
density of states at the Fermi level	10.44	states/eV per cell